The following is a GGA-PBE calculation of an optimized crystal structure of InTc3Rh, from the Alexandria database.

Computed properties:
Space-group type: Pm-3m (221)
Distance to the lowest polymorph of the same formula in eV/atom: 0.0000
Calculated total energy in eV per atom: -6.622

Lattice parameters (Å, degrees): 4.692 4.692 4.692 90.00 90.00 90.00
Fractional positions:
In (0.000, 0.000, 0.000)
Tc (0.000, 0.500, 0.500)
Tc (0.500, 0.000, 0.500)
Tc (0.500, 0.500, 0.000)
Rh (0.500, 0.500, 0.500)

The following is a GGA-PBE calculation of an optimized crystal structure of Tb3SmCd4, from the Alexandria database.

Computed properties:
Space-group type: Pmma (51)
Calculated total energy in eV per atom: -3.102

Lattice parameters (Å, degrees): 10.626 7.614 5.310 90.00 90.00 90.00
Fractional positions:
Tb (0.000, 0.000, 0.000)
Tb (0.250, 0.000, 0.499)
Tb (0.250, 0.500, 0.499)
Tb (0.500, 0.000, 0.000)
Tb (0.750, 0.000, 0.501)
Tb (0.750, 0.500, 0.501)
Sm (0.000, 0.500, 0.000)
Sm (0.500, 0.500, 0.000)
Cd (0.000, 0.246, 0.500)
Cd (0.000, 0.754, 0.500)
Cd (0.250, 0.246, 0.999)
Cd (0.250, 0.754, 0.999)
Cd (0.500, 0.246, 0.500)
Cd (0.500, 0.754, 0.500)
Cd (0.750, 0.246, 0.001)
Cd (0.750, 0.754, 0.001)

The following is a GGA-PBE calculation of an optimized crystal structure of LaSmTm2Cd4, from the Alexandria database.

Computed properties:
Space-group type: R-3m (166)
Calculated total energy in eV per atom: -3.087

Lattice parameters (Å, degrees): 9.290 9.290 9.290 33.56 33.56 33.56
Fractional positions:
La (0.000, 0.000, 0.000)
Sm (0.500, 0.500, 0.500)
Tm (0.249, 0.249, 0.249)
Tm (0.751, 0.751, 0.751)
Cd (0.127, 0.127, 0.127)
Cd (0.377, 0.377, 0.377)
Cd (0.623, 0.623, 0.623)
Cd (0.873, 0.873, 0.873)

The following is a GGA-PBE calculation of an optimized crystal structure of RbLaBe2, from the Alexandria database.

Computed properties:
Space-group type: Fm-3m (225)
Distance to the lowest polymorph of the same formula in eV/atom: 0.0000
Calculated total energy in eV per atom: -2.411

Lattice parameters (Å, degrees): 5.312 5.312 5.312 60.00 60.00 60.00
Fractional positions:
Rb (0.000, 0.000, 0.000)
La (0.500, 0.500, 0.500)
Be (0.250, 0.250, 0.250)
Be (0.750, 0.750, 0.750)